No. 1
## SrSbPdO2 (GGA-PBEsol)

Data for a relaxed SrSbPdO2 crystal.

Structure (POSCAR):
```
SrSbPdO2
1.0
4.236 0.000 0.000
0.000 4.236 0.000
0.000 0.000 5.240
Sb O Pd Sr
1 2 1 1
direct
0.500 0.500 0.500
0.000 0.500 0.000
0.500 0.000 0.000
0.000 0.000 0.000
0.000 0.000 0.500
```

Computed properties:
- space group = P4/mmm (123)
- E_form (uncorrected) (eV per formula unit) = 0.352
- total magnetic moment (μB per formula unit) = 0.006

***

No. 2
## AsBrCl2 (GGA-PBEsol)

Data for a relaxed AsBrCl2 crystal.

Structure (POSCAR):
```
AsBrCl2
1.0
-1.746 -1.373 -3.581
2.646 -3.447 0.031
-2.939 -2.236 2.291
As Br Cl
1 1 2
direct
0.500 0.500 0.500
0.500 0.000 0.000
0.000 0.500 0.000
0.000 0.000 0.500
```

Computed properties:
- relative energy among the computed polymorphs (eV/atom) = 0.945
- space group = P4/mmm (123)
- E_form (uncorrected) (eV per formula unit) = 1.636
- total magnetic moment (μB per formula unit) = 0.000

***

No. 3
## SrSnPb3 (GGA-PBEsol)

Data for a relaxed SrSnPb3 crystal.

Structure (POSCAR):
```
SrSnPb3
1.0
-0.285 -3.844 -4.263
-0.669 -4.217 3.847
-5.701 0.687 -0.238
Pb Sr Sn
3 1 1
direct
0.000 0.500 0.000
0.000 0.000 0.500
0.500 0.000 0.000
0.500 0.500 0.500
0.000 0.000 0.000
```

Computed properties:
- space group = Pm-3m (221)
- energy relative to the elements (eV/atom) = 0.204
- total magnetic moment (μB per formula unit) = 0.000

***

No. 4
## MnFe2Hg (GGA-PBEsol)

Data for a relaxed MnFe2Hg crystal.

Structure (POSCAR):
```
MnFe2Hg
1.0
-2.610 0.027 -0.885
0.929 -0.843 5.885
0.690 4.145 -1.941
Mn Fe Hg
1 2 1
direct
0.500 0.000 0.000
0.000 0.000 0.500
0.500 0.500 0.500
0.000 0.500 0.000
```

Computed properties:
- space group = C2/m (12)
- energy relative to the elements (eV/atom) = 0.498
- total magnetic moment (μB per formula unit) = 8.254

***

No. 5
## Rb2Zn3P4O14 (GGA-PBEsol)

Data for a relaxed Rb2Zn3P4O14 crystal.

Structure (POSCAR):
```
Rb2Zn3P4O14
1.0
-4.369 4.579 3.470
0.627 -3.967 6.024
10.778 6.901 3.423
O Zn P Rb
28 6 8 4
direct
0.881 0.889 0.205
0.912 0.237 0.922
0.763 0.849 0.022
0.814 0.569 0.131
0.124 0.334 0.198
0.119 0.389 0.795
0.606 0.597 0.508
0.364 0.505 0.635
0.636 0.005 0.365
0.876 0.834 0.802
0.000 0.684 0.646
0.779 0.948 0.622
0.237 0.349 0.978
0.000 0.184 0.354
0.346 0.777 0.831
0.354 0.044 0.705
0.088 0.737 0.078
0.221 0.448 0.378
0.186 0.069 0.869
0.331 0.829 0.372
0.338 0.149 0.304
0.662 0.649 0.696
0.669 0.329 0.628
0.394 0.097 0.492
0.646 0.544 0.295
0.654 0.277 0.169
0.531 0.068 0.877
0.469 0.568 0.123
0.209 0.500 0.098
0.210 0.619 0.737
0.551 0.089 0.614
0.790 0.119 0.263
0.791 0.000 0.902
0.449 0.589 0.386
0.366 0.986 0.816
0.569 0.512 0.611
0.163 0.287 0.309
0.889 0.776 0.109
0.634 0.486 0.184
0.837 0.787 0.691
0.431 0.012 0.389
0.111 0.276 0.891
0.389 0.997 0.090
0.058 0.250 0.584
0.942 0.750 0.416
0.611 0.497 0.910
```

Computed properties:
- space group = P2_1 (4)
- E_form (uncorrected) (eV per formula unit) = -48.641
- total magnetic moment (μB per formula unit) = 0.005

***

No. 6
## ZrBeCu2Ag (GGA-PBEsol)

Data for a relaxed ZrBeCu2Ag crystal.

Structure (POSCAR):
```
ZrBeCu2Ag
1.0
-3.594 0.965 1.687
-0.344 -3.807 1.445
2.168 1.280 3.887
Cu Be Zr Ag
2 1 1 1
direct
0.500 0.000 0.000
0.000 0.500 0.000
0.000 0.000 0.000
0.000 0.000 0.500
0.500 0.500 0.500
```

Computed properties:
- space group = P4/mmm (123)
- energy relative to the elements (eV/atom) = 0.472
- total magnetic moment (μB per formula unit) = 0.000

***

Look up the total magnetic moment of the second one.
0.000 μB per formula unit

***

Copy entry 5 word for word.
## Rb2Zn3P4O14 (GGA-PBEsol)

Data for a relaxed Rb2Zn3P4O14 crystal.

Structure (POSCAR):
```
Rb2Zn3P4O14
1.0
-4.369 4.579 3.470
0.627 -3.967 6.024
10.778 6.901 3.423
O Zn P Rb
28 6 8 4
direct
0.881 0.889 0.205
0.912 0.237 0.922
0.763 0.849 0.022
0.814 0.569 0.131
0.124 0.334 0.198
0.119 0.389 0.795
0.606 0.597 0.508
0.364 0.505 0.635
0.636 0.005 0.365
0.876 0.834 0.802
0.000 0.684 0.646
0.779 0.948 0.622
0.237 0.349 0.978
0.000 0.184 0.354
0.346 0.777 0.831
0.354 0.044 0.705
0.088 0.737 0.078
0.221 0.448 0.378
0.186 0.069 0.869
0.331 0.829 0.372
0.338 0.149 0.304
0.662 0.649 0.696
0.669 0.329 0.628
0.394 0.097 0.492
0.646 0.544 0.295
0.654 0.277 0.169
0.531 0.068 0.877
0.469 0.568 0.123
0.209 0.500 0.098
0.210 0.619 0.737
0.551 0.089 0.614
0.790 0.119 0.263
0.791 0.000 0.902
0.449 0.589 0.386
0.366 0.986 0.816
0.569 0.512 0.611
0.163 0.287 0.309
0.889 0.776 0.109
0.634 0.486 0.184
0.837 0.787 0.691
0.431 0.012 0.389
0.111 0.276 0.891
0.389 0.997 0.090
0.058 0.250 0.584
0.942 0.750 0.416
0.611 0.497 0.910
```

Computed properties:
- space group = P2_1 (4)
- E_form (uncorrected) (eV per formula unit) = -48.641
- total magnetic moment (μB per formula unit) = 0.005